[1]
VASP calculation (PBE) on ScInNi3 after structural relaxation.

Properties
The energy above the most stable polymorph in this dataset is 0 meV per atom. As for the symmetry: Cmcm (63). As for the raw total energy: -5.522 eV/atom.

a = 7.191 Å, b = 7.191 Å, c = 4.666 Å
α = 90.00°, β = 90.00°, γ = 139.78°
Element x y z (fractional)
1 Sc 0.202 0.798 0.750
2 Sc 0.798 0.202 0.250
3 In 0.424 0.576 0.250
4 In 0.576 0.424 0.750
5 Ni 0.000 0.000 0.000
6 Ni 0.000 0.000 0.500
7 Ni 0.130 0.382 0.750
8 Ni 0.382 0.130 0.250
9 Ni 0.618 0.870 0.750
10 Ni 0.870 0.618 0.250



[2]
VASP calculation (PBE) on V2MoOs after structural relaxation.

Properties
The energy above the most stable polymorph in this dataset is 14 meV per atom. As for the symmetry: P4/mmm (123). As for the raw total energy: -10.369 eV/atom.

a = 4.306 Å, b = 4.306 Å, c = 3.042 Å
α = 90.00°, β = 90.00°, γ = 90.00°
Element x y z (fractional)
1 V 0.000 0.500 0.000
2 V 0.500 0.000 0.000
3 Mo 0.000 0.000 0.500
4 Os 0.500 0.500 0.500



[3]
VASP calculation (PBE) on Pm2TmPuBi4 after structural relaxation.

Properties
As for the symmetry: P2/m (10). As for the raw total energy: -6.216 eV/atom.

a = 7.849 Å, b = 4.538 Å, c = 7.849 Å
α = 90.00°, β = 109.42°, γ = 90.00°
Element x y z (fractional)
1 Pm 0.000 0.000 0.000
2 Pm 0.000 0.500 0.500
3 Tm 0.500 0.000 0.500
4 Pu 0.500 0.500 0.000
5 Bi 0.256 0.000 0.749
6 Bi 0.258 0.500 0.255
7 Bi 0.742 0.500 0.745
8 Bi 0.744 0.000 0.251



[4]
VASP calculation (PBE) on Sm8TcSb2 after structural relaxation.

Properties
The energy relative to the elements, uncorrected is -0.368 eV per atom. As for the symmetry: C2/m (12). As for the raw total energy: -5.492 eV/atom.

a = 9.889 Å, b = 9.889 Å, c = 7.288 Å
α = 99.37°, β = 99.37°, γ = 28.03°
Element x y z (fractional)
1 Sm 0.007 0.007 0.278
2 Sm 0.217 0.217 0.843
3 Sm 0.356 0.356 0.475
4 Sm 0.406 0.406 0.994
5 Sm 0.594 0.594 0.006
6 Sm 0.644 0.644 0.525
7 Sm 0.783 0.783 0.157
8 Sm 0.993 0.993 0.722
9 Tc 0.500 0.500 0.500
10 Sb 0.181 0.181 0.266
11 Sb 0.819 0.819 0.734



[5]
VASP calculation (PBE) on CdTc2SnP after structural relaxation.

Properties
As for the symmetry: P4/mmm (123). As for the raw total energy: -5.553 eV/atom.

a = 4.484 Å, b = 4.484 Å, c = 5.158 Å
α = 90.00°, β = 90.00°, γ = 90.00°
Element x y z (fractional)
1 Cd 0.000 0.000 0.000
2 Tc 0.000 0.500 0.500
3 Tc 0.500 0.000 0.500
4 Sn 0.500 0.500 0.000
5 P 0.500 0.500 0.500



[6]
VASP calculation (PBE) on Th4SiGeAs2 after structural relaxation.

Properties
The energy relative to the elements, uncorrected is -1.066 eV per atom. As for the symmetry: P2/m (10). As for the raw total energy: -7.193 eV/atom.

a = 7.400 Å, b = 4.276 Å, c = 7.410 Å
α = 90.00°, β = 109.54°, γ = 90.00°
Element x y z (fractional)
1 Th 0.245 0.000 0.246
2 Th 0.246 0.500 0.751
3 Th 0.754 0.500 0.249
4 Th 0.755 0.000 0.754
5 Si 0.000 0.500 0.000
6 Ge 0.000 0.000 0.500
7 As 0.500 0.000 0.000
8 As 0.500 0.500 0.500



[7]
VASP calculation (PBE) on LiBC after structural relaxation.

Properties
As for the symmetry: I4/mmm (139). As for the raw total energy: -5.869 eV/atom.

a = 5.978 Å, b = 5.978 Å, c = 5.978 Å
α = 97.37°, β = 97.37°, γ = 138.01°
Element x y z (fractional)
1 Li 0.000 0.335 0.335
2 Li 0.000 0.665 0.665
3 Li 0.335 0.000 0.335
4 Li 0.665 0.000 0.665
5 B 0.365 0.365 0.730
6 B 0.365 0.635 0.000
7 B 0.635 0.365 0.000
8 B 0.635 0.635 0.270
9 C 0.240 0.500 0.740
10 C 0.500 0.240 0.740
11 C 0.500 0.760 0.260
12 C 0.760 0.500 0.260



[8]
VASP calculation (PBE) on ErTiGa4 after structural relaxation.

Properties
The energy above the most stable polymorph in this dataset is 0 meV per atom. As for the symmetry: Immm (71). As for the raw total energy: -4.494 eV/atom.

a = 4.335 Å, b = 6.532 Å, c = 7.565 Å
α = 90.00°, β = 90.00°, γ = 90.00°
Element x y z (fractional)
1 Er 0.000 0.000 0.000
2 Er 0.500 0.500 0.500
3 Ti 0.000 0.500 0.000
4 Ti 0.500 0.000 0.500
5 Ga 0.000 0.237 0.335
6 Ga 0.000 0.237 0.665
7 Ga 0.000 0.763 0.335
8 Ga 0.000 0.763 0.665
9 Ga 0.500 0.263 0.165
10 Ga 0.500 0.263 0.835
11 Ga 0.500 0.737 0.165
12 Ga 0.500 0.737 0.835



[9]
VASP calculation (PBE) on Sr2AgSbN after structural relaxation.

Properties
The energy relative to the elements, uncorrected is -0.467 eV per atom. As for the symmetry: P4/mmm (123). As for the raw total energy: -4.200 eV/atom.

a = 5.397 Å, b = 5.397 Å, c = 4.281 Å
α = 90.00°, β = 90.00°, γ = 90.00°
Element x y z (fractional)
1 Sr 0.000 0.500 0.000
2 Sr 0.500 0.000 0.000
3 Ag 0.000 0.000 0.500
4 Sb 0.500 0.500 0.500
5 N 0.000 0.000 0.000



[10]
VASP calculation (PBE) on Dy2Y4Ho5 after structural relaxation.

Properties
The energy above the most stable polymorph in this dataset is 0 meV per atom. As for the symmetry: C2/m (12). As for the raw total energy: -5.192 eV/atom.

a = 11.746 Å, b = 11.746 Å, c = 8.650 Å
α = 93.94°, β = 93.94°, γ = 17.33°
Element x y z (fractional)
1 Dy 0.134 0.134 0.133
2 Dy 0.866 0.866 0.867
3 Y 0.083 0.083 0.717
4 Y 0.315 0.315 0.513
5 Y 0.685 0.685 0.487
6 Y 0.917 0.917 0.283
7 Ho 0.233 0.233 0.831
8 Ho 0.454 0.454 0.630
9 Ho 0.500 0.500 0.000
10 Ho 0.546 0.546 0.370
11 Ho 0.767 0.767 0.169



[11]
VASP calculation (PBE) on CsLiBeSe2 after structural relaxation.

Properties
The energy relative to the elements, uncorrected is -0.971 eV per atom. As for the symmetry: Cmme (67). As for the raw total energy: -3.663 eV/atom.

a = 7.975 Å, b = 7.975 Å, c = 5.976 Å
α = 90.00°, β = 90.00°, γ = 132.05°
Element x y z (fractional)
1 Cs 0.250 0.750 0.750
2 Cs 0.750 0.250 0.250
3 Li 0.250 0.250 0.000
4 Li 0.750 0.750 0.000
5 Be 0.000 0.000 0.500
6 Be 0.500 0.500 0.500
7 Se 0.097 0.903 0.255
8 Se 0.403 0.597 0.255
9 Se 0.597 0.403 0.745
10 Se 0.903 0.097 0.745



[12]
VASP calculation (PBE) on Ac2Ag3 after structural relaxation.

Properties
The energy above the most stable polymorph in this dataset is 71 meV per atom. As for the symmetry: Cmce (64). As for the raw total energy: -3.563 eV/atom.

a = 6.117 Å, b = 6.117 Å, c = 8.973 Å
α = 90.00°, β = 90.00°, γ = 121.82°
Element x y z (fractional)
1 Ac 0.160 0.840 0.900
2 Ac 0.340 0.660 0.400
3 Ac 0.660 0.340 0.600
4 Ac 0.840 0.160 0.100
5 Ag 0.000 0.000 0.500
6 Ag 0.152 0.348 0.750
7 Ag 0.348 0.152 0.250
8 Ag 0.500 0.500 0.000
9 Ag 0.652 0.848 0.750
10 Ag 0.848 0.652 0.250



Q: What is the raw total energy in the eleventh record?
A: -3.663 eV/atom